Run one
Material: La3SnPd
Method: DFT, GGA-PBE
State: relaxed

a = 5.6644 Å, b = 5.6644 Å, c = 5.6644 Å
α = 90.00°, β = 90.00°, γ = 90.00°
Element x y z (fractional)
La  0.0000  0.0000  0.5000
La  0.0000  0.5000  0.0000
La  0.5000  0.0000  0.0000
Sn  0.5000  0.5000  0.5000
Pd  0.0000  0.0000  0.0000

Summary:
- symmetry = Pm-3m (221)


Run two
Material: La3SnPd
Method: DFT, GGA-PBE
State: relaxed

a = 8.7081 Å, b = 8.7081 Å, c = 8.5233 Å
α = 90.02°, β = 90.02°, γ = 82.17°
Element x y z (fractional)
La  0.0070  0.1905  0.4114
La  0.0758  0.4240  0.8122
La  0.1905  0.0070  0.9114
La  0.3069  0.4889  0.4116
La  0.4240  0.0758  0.3122
La  0.4889  0.3069  0.9116
La  0.5111  0.6931  0.0884
La  0.5760  0.9242  0.6878
La  0.6931  0.5111  0.5884
La  0.8095  0.9930  0.0886
La  0.9242  0.5760  0.1878
La  0.9930  0.8095  0.5886
Sn  0.1634  0.8366  0.2500
Sn  0.3397  0.6603  0.7500
Sn  0.6603  0.3397  0.2500
Sn  0.8366  0.1634  0.7500
Pd  0.1878  0.3063  0.1273
Pd  0.3063  0.1878  0.6273
Pd  0.6937  0.8122  0.3727
Pd  0.8122  0.6937  0.8727

Summary:
- symmetry = C2/c (15)


Which of them is most stable, and which least? Most stable: run two; least stable: run one.


Run one
Material: La4SnPd
Method: DFT, GGA-PBE
State: relaxed

a = 5.6384 Å, b = 7.2815 Å, c = 9.0473 Å
α = 90.00°, β = 99.40°, γ = 90.00°
Element x y z (fractional)
La  0.1575  0.2500  0.0450
La  0.2139  0.7500  0.3690
La  0.3224  0.5260  0.7299
La  0.3224  0.9740  0.7299
La  0.6776  0.0260  0.2701
La  0.6776  0.4740  0.2701
La  0.7861  0.2500  0.6310
La  0.8425  0.7500  0.9550
Sn  0.2242  0.2500  0.4144
Sn  0.7758  0.7500  0.5856
Pd  0.3487  0.7500  0.0563
Pd  0.6513  0.2500  0.9437

Summary:
- symmetry = P2_1/m (11)


Run two
Material: La4SnPd
Method: DFT, GGA-PBE
State: relaxed

a = 10.8918 Å, b = 10.8918 Å, c = 6.6438 Å
α = 90.00°, β = 90.00°, γ = 150.07°
Element x y z (fractional)
La  0.0530  0.9470  0.7500
La  0.2095  0.7905  0.5147
La  0.2095  0.7905  0.9853
La  0.3973  0.6027  0.7500
La  0.6027  0.3973  0.2500
La  0.7905  0.2095  0.0147
La  0.7905  0.2095  0.4853
La  0.9470  0.0530  0.2500
Sn  0.3512  0.6488  0.2500
Sn  0.6488  0.3512  0.7500
Pd  0.0843  0.9157  0.2500
Pd  0.9157  0.0843  0.7500

Summary:
- symmetry = Cmcm (63)


Which of them is most stable, and which least? Most stable: run one; least stable: run two.


Run one
Material: La2SnPd5
Method: DFT, GGA-PBE
State: relaxed

a = 6.1492 Å, b = 6.1492 Å, c = 6.1492 Å
α = 117.50°, β = 117.50°, γ = 94.39°
Element x y z (fractional)
La  0.0000  0.5000  0.5000
La  0.5000  0.0000  0.5000
Sn  0.1680  0.1680  0.0000
Pd  0.5020  0.5020  0.0000
Pd  0.5458  0.5458  0.5689
Pd  0.5458  0.9769  0.0000
Pd  0.9769  0.5458  0.0000
Pd  0.9769  0.9769  0.4311

Summary:
- symmetry = I4mm (107)


Run two
Material: La2SnPd5
Method: DFT, GGA-PBE
State: relaxed

a = 7.4210 Å, b = 6.6846 Å, c = 14.2568 Å
α = 90.00°, β = 90.00°, γ = 90.00°
Element x y z (fractional)
La  0.0201  0.2500  0.1902
La  0.1672  0.7500  0.4218
La  0.3328  0.2500  0.9218
La  0.4799  0.7500  0.6902
La  0.5201  0.2500  0.3098
La  0.6672  0.7500  0.0782
La  0.8328  0.2500  0.5782
La  0.9799  0.7500  0.8098
Sn  0.1542  0.7500  0.1199
Sn  0.3458  0.2500  0.6199
Sn  0.6542  0.7500  0.3801
Sn  0.8458  0.2500  0.8801
Pd  0.0000  0.0000  0.0000
Pd  0.0000  0.5000  0.0000
Pd  0.1057  0.2500  0.7585
Pd  0.1146  0.5537  0.6197
Pd  0.1146  0.9463  0.6197
Pd  0.1954  0.2500  0.4379
Pd  0.3046  0.7500  0.9379
Pd  0.3854  0.0537  0.1197
Pd  0.3854  0.4463  0.1197
Pd  0.3943  0.7500  0.2585
Pd  0.5000  0.0000  0.5000
Pd  0.5000  0.5000  0.5000
Pd  0.6057  0.2500  0.7415
Pd  0.6146  0.5537  0.8803
Pd  0.6146  0.9463  0.8803
Pd  0.6954  0.2500  0.0621
Pd  0.8046  0.7500  0.5621
Pd  0.8854  0.0537  0.3803
Pd  0.8854  0.4463  0.3803
Pd  0.8943  0.7500  0.2415

Summary:
- symmetry = Pnma (62)


Which of them is most stable, and which least? Most stable: run one; least stable: run two.


Run one
Material: Sr3LaPd
Method: DFT, GGA-PBE
State: relaxed

a = 6.0465 Å, b = 6.0465 Å, c = 6.0465 Å
α = 90.00°, β = 90.00°, γ = 90.00°
Element x y z (fractional)
Sr  0.0000  0.0000  0.5000
Sr  0.0000  0.5000  0.0000
Sr  0.5000  0.0000  0.0000
La  0.0000  0.0000  0.0000
Pd  0.5000  0.5000  0.5000

Summary:
- symmetry = Pm-3m (221)


Run two
Material: Sr3LaPd
Method: DFT, GGA-PBE
State: relaxed

a = 5.9264 Å, b = 5.9264 Å, c = 5.9264 Å
α = 90.00°, β = 90.00°, γ = 90.00°
Element x y z (fractional)
Sr  0.0000  0.0000  0.5000
Sr  0.0000  0.5000  0.0000
Sr  0.5000  0.0000  0.0000
La  0.5000  0.5000  0.5000
Pd  0.0000  0.0000  0.0000

Summary:
- symmetry = Pm-3m (221)


Which of them is most stable, and which least? Most stable: run two; least stable: run one.


Run one
Material: SrLa3Pd
Method: DFT, GGA-PBE
State: relaxed

a = 5.8635 Å, b = 5.8635 Å, c = 5.8635 Å
α = 90.00°, β = 90.00°, γ = 90.00°
Element x y z (fractional)
Sr  0.0000  0.0000  0.0000
La  0.0000  0.5000  0.5000
La  0.5000  0.0000  0.5000
La  0.5000  0.5000  0.0000
Pd  0.5000  0.5000  0.5000

Summary:
- symmetry = Pm-3m (221)


Run two
Material: SrLa3Pd
Method: DFT, GGA-PBE
State: relaxed

a = 5.7494 Å, b = 5.7494 Å, c = 5.7494 Å
α = 90.00°, β = 90.00°, γ = 90.00°
Element x y z (fractional)
Sr  0.0000  0.0000  0.0000
La  0.0000  0.0000  0.5000
La  0.0000  0.5000  0.0000
La  0.5000  0.0000  0.0000
Pd  0.5000  0.5000  0.5000

Summary:
- symmetry = Pm-3m (221)


Which of them is most stable, and which least? Most stable: run one; least stable: run two.


Run one
Material: LaTaPd3
Method: DFT, GGA-PBE
State: relaxed

a = 5.0093 Å, b = 5.0093 Å, c = 5.0093 Å
α = 90.00°, β = 90.00°, γ = 90.00°
Element x y z (fractional)
La  0.0000  0.0000  0.0000
Ta  0.5000  0.5000  0.5000
Pd  0.0000  0.0000  0.5000
Pd  0.0000  0.5000  0.0000
Pd  0.5000  0.0000  0.0000

Summary:
- symmetry = Pm-3m (221)


Run two
Material: LaTaPd3
Method: DFT, GGA-PBE
State: relaxed

a = 4.9269 Å, b = 4.9269 Å, c = 4.9269 Å
α = 90.00°, β = 90.00°, γ = 90.00°
Element x y z (fractional)
La  0.0000  0.0000  0.0000
Ta  0.5000  0.5000  0.5000
Pd  0.0000  0.5000  0.5000
Pd  0.5000  0.0000  0.5000
Pd  0.5000  0.5000  0.0000

Summary:
- symmetry = Pm-3m (221)


Which of them is most stable, and which least? Most stable: run two; least stable: run one.